This record from the Alexandria database describes VZnN2O after structural relaxation. The functional is GGA+U.

Crystal system: tetragonal
DFT total energy, eV/cell: -24.04

Cell and atoms, written as CIF:
```
data_VZnN2O
_chemical_formula_sum 'V1 Zn1 N2 O1'
_cell_length_a 3.7410
_cell_length_b 3.7410
_cell_length_c 3.8644
_cell_angle_alpha 90.00
_cell_angle_beta 90.00
_cell_angle_gamma 90.00
_space_group_name_H-M_alt 'P 4/m m m'
_space_group_IT_number 123
_space_group_name_Hall '-P 4 2'
loop_
_atom_site_label
_atom_site_type_symbol
_atom_site_fract_x
_atom_site_fract_y
_atom_site_fract_z
V1 V 0.0000 0.0000 0.0000
Zn1 Zn 0.5000 0.5000 0.5000
N1 N 0.0000 0.5000 0.5000
O1 O 0.5000 0.5000 0.0000
```